1:
! YSc2TiH (PBE, optimized geometry); values from VASP
&SYSTEM
  ibrav = 0, nat = 5, ntyp = 4
/
ATOMIC_SPECIES
Y 88.91 Y.upf
Sc 44.96 Sc.upf
H 1.01 H.upf
Ti 47.87 Ti.upf
ATOMIC_POSITIONS crystal
Y 0.000 0.000 0.500
Sc 0.000 0.500 0.000
H 0.000 0.000 0.000
Ti 0.500 0.500 0.500
Sc 0.500 0.000 0.000
CELL_PARAMETERS angstrom
4.543 0.000 0.000
0.000 4.543 0.000
0.000 0.000 4.682
! **Space group**: P4/mmm (123)



2:
! YSc2TiH (PBE, optimized geometry); values from VASP
&SYSTEM
  ibrav = 0, nat = 5, ntyp = 4
/
ATOMIC_SPECIES
Ti 47.87 Ti.upf
Sc 44.96 Sc.upf
Y 88.91 Y.upf
H 1.01 H.upf
ATOMIC_POSITIONS crystal
Ti 0.000 0.000 0.500
Sc 0.000 0.500 0.000
Y 0.500 0.500 0.500
H 0.000 0.000 0.000
Sc 0.500 0.000 0.000
CELL_PARAMETERS angstrom
-2.204 3.287 -2.281
-3.998 -1.707 1.404
0.157 2.653 3.672
! **Space group**: P4/mmm (123)



Result of the stability comparison: 1 is the most stable of them.



1:
! Sc2TiZnH (PBE, optimized geometry); values from VASP
&SYSTEM
  ibrav = 0, nat = 5, ntyp = 4
/
ATOMIC_SPECIES
Zn 65.41 Zn.upf
H 1.01 H.upf
Sc 44.96 Sc.upf
Ti 47.87 Ti.upf
ATOMIC_POSITIONS crystal
Zn 0.500 0.500 0.500
H 0.000 0.000 0.000
Sc 0.500 0.000 0.000
Sc 0.000 0.500 0.000
Ti 0.000 0.000 0.500
CELL_PARAMETERS angstrom
-2.497 2.735 -2.327
-3.140 -3.038 -0.202
-1.646 1.469 3.493
! **Space group**: P4/mmm (123)



2:
! Sc2TiZnH (PBE, optimized geometry); values from VASP
&SYSTEM
  ibrav = 0, nat = 5, ntyp = 4
/
ATOMIC_SPECIES
Sc 44.96 Sc.upf
H 1.01 H.upf
Ti 47.87 Ti.upf
Zn 65.41 Zn.upf
ATOMIC_POSITIONS crystal
Sc 0.000 0.000 0.500
H 0.000 0.500 0.000
Ti 0.000 0.000 0.000
Sc 0.500 0.000 0.000
Zn 0.500 0.500 0.500
CELL_PARAMETERS angstrom
-2.871 0.841 4.288
2.103 -1.910 1.782
2.890 4.214 1.108
! **Space group**: P4/mmm (123)



Result of the stability comparison: 1 is the most stable of them.



1:
! ScTlH (PBE, optimized geometry); values from VASP
&SYSTEM
  ibrav = 0, nat = 24, ntyp = 3
/
ATOMIC_SPECIES
Sc 44.96 Sc.upf
H 1.01 H.upf
Tl 204.38 Tl.upf
ATOMIC_POSITIONS crystal
Sc 0.250 0.500 0.441
H 0.000 0.750 0.000
Tl 0.250 0.500 0.191
Tl 0.750 0.500 0.309
Tl 0.750 0.500 0.809
Sc 0.250 0.000 0.059
Tl 0.250 0.000 0.809
Tl 0.750 0.000 0.691
H 0.500 0.750 0.000
Sc 0.750 0.000 0.941
H 0.500 0.750 0.500
Sc 0.250 0.500 0.941
H 0.000 0.250 0.000
Sc 0.750 0.000 0.441
H 0.500 0.250 0.500
Sc 0.250 0.000 0.559
Sc 0.750 0.500 0.559
H 0.500 0.250 0.000
Tl 0.750 0.000 0.191
Tl 0.250 0.000 0.309
Tl 0.250 0.500 0.691
H 0.000 0.250 0.500
H 0.000 0.750 0.500
Sc 0.750 0.500 0.059
CELL_PARAMETERS angstrom
5.536 0.000 0.000
0.000 5.536 0.000
0.000 0.000 13.020
! **Space group**: P4/nmm (129)



2:
! ScTlH (PBE, optimized geometry); values from VASP
&SYSTEM
  ibrav = 0, nat = 3, ntyp = 3
/
ATOMIC_SPECIES
Sc 44.96 Sc.upf
Tl 204.38 Tl.upf
H 1.01 H.upf
ATOMIC_POSITIONS crystal
Sc 0.733 0.733 0.467
Tl 0.002 0.002 0.005
H 0.264 0.264 0.529
CELL_PARAMETERS angstrom
-1.913 -2.355 0.331
1.632 -0.991 2.381
-3.096 4.798 2.164
! **Space group**: I4mm (107)



Result of the stability comparison: 1 is the most stable of them.



1:
! ScTlH2 (PBE, optimized geometry); values from VASP
&SYSTEM
  ibrav = 0, nat = 8, ntyp = 3
/
ATOMIC_SPECIES
H 1.01 H.upf
Sc 44.96 Sc.upf
Tl 204.38 Tl.upf
ATOMIC_POSITIONS crystal
H 0.375 0.519 0.750
Sc 0.500 0.500 0.000
H 0.269 0.625 0.250
H 0.875 0.731 0.750
Tl 0.750 0.250 0.500
Sc 0.250 0.750 0.500
H 0.481 0.125 0.250
Tl 0.000 0.000 0.000
CELL_PARAMETERS angstrom
4.823 0.000 0.000
0.000 4.823 0.000
2.411 2.411 5.291
! **Space group**: I-42d (122)



2:
! ScTlH2 (PBE, optimized geometry); values from VASP
&SYSTEM
  ibrav = 0, nat = 4, ntyp = 3
/
ATOMIC_SPECIES
Tl 204.38 Tl.upf
H 1.01 H.upf
Sc 44.96 Sc.upf
ATOMIC_POSITIONS crystal
Tl 0.500 0.500 0.500
H 0.750 0.750 0.750
H 0.250 0.250 0.250
Sc 0.000 0.000 0.000
CELL_PARAMETERS angstrom
0.000 2.963 2.963
2.963 0.000 2.963
2.963 2.963 0.000
! **Space group**: Fm-3m (225)



Result of the stability comparison: 1 is the most stable of them.



1:
! TmSc2H (PBE, optimized geometry); values from VASP
&SYSTEM
  ibrav = 0, nat = 4, ntyp = 3
/
ATOMIC_SPECIES
H 1.01 H.upf
Sc 44.96 Sc.upf
Tm 168.93 Tm.upf
ATOMIC_POSITIONS crystal
H 0.500 0.500 0.000
Sc 0.000 0.000 0.815
Sc 0.000 0.000 0.185
Tm 0.500 0.500 0.500
CELL_PARAMETERS angstrom
-1.600 -1.077 2.464
-1.510 -2.012 -1.861
5.709 -5.492 1.307
! **Space group**: P4/mmm (123)



2:
! TmSc2H (PBE, optimized geometry); values from VASP
&SYSTEM
  ibrav = 0, nat = 4, ntyp = 3
/
ATOMIC_SPECIES
H 1.01 H.upf
Tm 168.93 Tm.upf
Sc 44.96 Sc.upf
ATOMIC_POSITIONS crystal
H 0.000 0.000 0.000
Tm 0.500 0.500 0.500
Sc 0.282 0.282 0.155
Sc 0.718 0.718 0.845
CELL_PARAMETERS angstrom
3.356 0.000 0.000
1.678 2.907 0.000
1.678 0.969 7.992
! **Space group**: R-3m (166)



Result of the stability comparison: 2 is the most stable of them.



1:
! ScV2H4 (PBE, optimized geometry); values from VASP
&SYSTEM
  ibrav = 0, nat = 7, ntyp = 3
/
ATOMIC_SPECIES
H 1.01 H.upf
Sc 44.96 Sc.upf
V 50.94 V.upf
ATOMIC_POSITIONS crystal
H 0.194 0.194 0.613
Sc 0.000 0.000 0.000
H 0.000 0.500 0.000
V 0.368 0.368 0.264
V 0.632 0.632 0.736
H 0.806 0.806 0.387
H 0.500 0.000 0.000
CELL_PARAMETERS angstrom
3.675 0.000 0.000
0.000 3.675 0.000
1.838 1.838 4.845
! **Space group**: I4/mmm (139)



2:
! ScV2H4 (PBE, optimized geometry); values from VASP
&SYSTEM
  ibrav = 0, nat = 14, ntyp = 3
/
ATOMIC_SPECIES
Sc 44.96 Sc.upf
H 1.01 H.upf
V 50.94 V.upf
ATOMIC_POSITIONS crystal
Sc 0.001 0.999 0.000
H 0.856 0.145 0.290
H 0.816 0.605 0.210
H 0.394 0.605 0.210
H 0.855 0.144 0.710
Sc 0.249 0.751 0.500
H 0.855 0.566 0.710
V 0.125 0.375 0.750
H 0.395 0.184 0.790
H 0.395 0.606 0.790
V 0.625 0.875 0.250
H 0.434 0.145 0.290
V 0.625 0.375 0.250
V 0.625 0.375 0.750
CELL_PARAMETERS angstrom
5.521 0.199 -0.079
-0.199 5.520 0.098
-2.590 -2.913 3.902
! **Space group**: Imma (74)



Result of the stability comparison: 2 is the most stable of them.



1:
! Sc2VH (PBE, optimized geometry); values from VASP
&SYSTEM
  ibrav = 0, nat = 8, ntyp = 3
/
ATOMIC_SPECIES
Sc 44.96 Sc.upf
H 1.01 H.upf
V 50.94 V.upf
ATOMIC_POSITIONS crystal
Sc 0.375 0.484 0.750
H 0.250 0.750 0.500
Sc 0.516 0.125 0.250
V 0.750 0.250 0.500
H 0.500 0.500 0.000
Sc 0.234 0.625 0.250
V 0.000 0.000 0.000
Sc 0.875 0.766 0.750
CELL_PARAMETERS angstrom
6.246 0.000 0.000
0.000 6.246 0.000
3.123 3.123 3.372
! **Space group**: I-42d (122)



2:
! Sc2VH (PBE, optimized geometry); values from VASP
&SYSTEM
  ibrav = 0, nat = 4, ntyp = 3
/
ATOMIC_SPECIES
V 50.94 V.upf
Sc 44.96 Sc.upf
H 1.01 H.upf
ATOMIC_POSITIONS crystal
V 0.500 0.500 0.500
Sc 0.750 0.750 0.750
Sc 0.250 0.250 0.250
H 0.000 0.000 0.000
CELL_PARAMETERS angstrom
0.000 3.255 3.255
3.255 0.000 3.255
3.255 3.255 0.000
! **Space group**: Fm-3m (225)



Result of the stability comparison: 1 is the most stable of them.



1:
! Sc2VH (PBE, optimized geometry); values from VASP
&SYSTEM
  ibrav = 0, nat = 4, ntyp = 3
/
ATOMIC_SPECIES
Sc 44.96 Sc.upf
V 50.94 V.upf
H 1.01 H.upf
ATOMIC_POSITIONS crystal
Sc 0.112 0.112 0.112
V 0.000 0.000 0.000
Sc 0.888 0.888 0.888
H 0.500 0.500 0.500
CELL_PARAMETERS angstrom
1.744 0.000 7.905
-0.872 1.510 7.905
-0.872 -1.510 7.905
! **Space group**: R-3m (166)



2:
! Sc2VH (PBE, optimized geometry); values from VASP
&SYSTEM
  ibrav = 0, nat = 4, ntyp = 3
/
ATOMIC_SPECIES
Sc 44.96 Sc.upf
V 50.94 V.upf
H 1.01 H.upf
ATOMIC_POSITIONS crystal
Sc 0.000 0.000 0.716
Sc 0.000 0.000 0.284
V 0.500 0.500 0.000
H 0.500 0.500 0.500
CELL_PARAMETERS angstrom
2.897 0.000 0.000
0.000 2.897 0.000
0.000 0.000 7.221
! **Space group**: P4/mmm (123)



Result of the stability comparison: 2 is the most stable of them.



1:
! Sc3VH (PBE, optimized geometry); values from VASP
&SYSTEM
  ibrav = 0, nat = 5, ntyp = 3
/
ATOMIC_SPECIES
V 50.94 V.upf
Sc 44.96 Sc.upf
H 1.01 H.upf
ATOMIC_POSITIONS crystal
V 0.000 0.000 0.000
Sc 0.500 0.000 0.000
Sc 0.000 0.500 0.000
Sc 0.000 0.000 0.500
H 0.500 0.500 0.500
CELL_PARAMETERS angstrom
-2.972 3.901 -0.333
-1.710 -0.917 4.516
3.522 2.846 1.912
! **Space group**: Pm-3m (221)



2:
! Sc3VH (PBE, optimized geometry); values from VASP
&SYSTEM
  ibrav = 0, nat = 5, ntyp = 3
/
ATOMIC_SPECIES
V 50.94 V.upf
Sc 44.96 Sc.upf
H 1.01 H.upf
ATOMIC_POSITIONS crystal
V 0.500 0.500 0.500
Sc 0.500 0.000 0.000
Sc 0.000 0.000 0.500
H 0.000 0.000 0.000
Sc 0.000 0.500 0.000
CELL_PARAMETERS angstrom
4.422 0.000 0.000
0.000 4.422 0.000
0.000 0.000 4.422
! **Space group**: Pm-3m (221)



Result of the stability comparison: 2 is the most stable of them.



1:
! ScHW3 (PBE, optimized geometry); values from VASP
&SYSTEM
  ibrav = 0, nat = 5, ntyp = 3
/
ATOMIC_SPECIES
H 1.01 H.upf
Sc 44.96 Sc.upf
W 183.84 W.upf
ATOMIC_POSITIONS crystal
H 0.500 0.500 0.500
Sc 0.000 0.000 0.000
W 0.000 0.500 0.000
W 0.500 0.000 0.000
W 0.000 0.000 0.500
CELL_PARAMETERS angstrom
-3.331 -0.004 -3.218
3.056 -1.452 -3.162
-1.006 -4.398 1.047
! **Space group**: Pm-3m (221)



2:
! ScHW3 (PBE, optimized geometry); values from VASP
&SYSTEM
  ibrav = 0, nat = 5, ntyp = 3
/
ATOMIC_SPECIES
W 183.84 W.upf
H 1.01 H.upf
Sc 44.96 Sc.upf
ATOMIC_POSITIONS crystal
W 0.000 0.500 0.000
W 0.000 0.000 0.500
H 0.000 0.000 0.000
W 0.500 0.000 0.000
Sc 0.500 0.500 0.500
CELL_PARAMETERS angstrom
4.145 0.000 0.000
0.000 4.145 0.000
0.000 0.000 4.145
! **Space group**: Pm-3m (221)



Result of the stability comparison: 2 is the most stable of them.



1:
! Sc3HW (PBE, optimized geometry); values from VASP
&SYSTEM
  ibrav = 0, nat = 5, ntyp = 3
/
ATOMIC_SPECIES
Sc 44.96 Sc.upf
W 183.84 W.upf
H 1.01 H.upf
ATOMIC_POSITIONS crystal
Sc 0.500 0.000 0.000
W 0.000 0.000 0.000
H 0.500 0.500 0.500
Sc 0.000 0.500 0.000
Sc 0.000 0.000 0.500
CELL_PARAMETERS angstrom
-4.112 1.193 2.770
2.272 -1.856 4.172
1.985 4.598 0.965
! **Space group**: Pm-3m (221)



2:
! Sc3HW (PBE, optimized geometry); values from VASP
&SYSTEM
  ibrav = 0, nat = 5, ntyp = 3
/
ATOMIC_SPECIES
Sc 44.96 Sc.upf
W 183.84 W.upf
H 1.01 H.upf
ATOMIC_POSITIONS crystal
Sc 0.000 0.500 0.000
W 0.500 0.500 0.500
Sc 0.000 0.000 0.500
Sc 0.500 0.000 0.000
H 0.000 0.000 0.000
CELL_PARAMETERS angstrom
-0.217 0.973 -4.249
4.143 -1.277 -0.504
-1.355 -4.059 -0.860
! **Space group**: Pm-3m (221)



Result of the stability comparison: 2 is the most stable of them.



1:
! YSc2H (PBE, optimized geometry); values from VASP
&SYSTEM
  ibrav = 0, nat = 4, ntyp = 3
/
ATOMIC_SPECIES
Sc 44.96 Sc.upf
H 1.01 H.upf
Y 88.91 Y.upf
ATOMIC_POSITIONS crystal
Sc 0.000 0.000 0.183
Sc 0.000 0.000 0.817
H 0.500 0.500 0.000
Y 0.500 0.500 0.500
CELL_PARAMETERS angstrom
3.151 0.000 0.000
0.000 3.151 0.000
0.000 0.000 8.122
! **Space group**: P4/mmm (123)



2:
! YSc2H (PBE, optimized geometry); values from VASP
&SYSTEM
  ibrav = 0, nat = 4, ntyp = 3
/
ATOMIC_SPECIES
H 1.01 H.upf
Sc 44.96 Sc.upf
Y 88.91 Y.upf
ATOMIC_POSITIONS crystal
H 0.000 0.000 0.000
Sc 0.718 0.718 0.847
Sc 0.282 0.282 0.153
Y 0.500 0.500 0.500
CELL_PARAMETERS angstrom
3.385 0.000 0.000
1.692 2.931 0.000
1.692 0.977 8.060
! **Space group**: R-3m (166)



Result of the stability comparison: 2 is the most stable of them.